VASP calculation (PBE-GGA) on NaAc2RuO6 after structural relaxation.

Properties
Theoretical density: 7.76 g cm⁻³
VASP energy: -7.2090 eV/atom
Calculated volume: 288.7 Å³ per cell
ΔE_f (raw): -2.353 eV per atom

a b c (Å): 5.7719 6.0789 10.0297
angles (deg): 90.00 124.89 90.00
Positions (direct):
Na1 0.0000 0.0000 0.0000
Na2 0.0000 0.5000 0.5000
Ac1 0.2352 0.0617 0.7484
Ac2 0.2352 0.4383 0.2484
Ac3 0.7648 0.5617 0.7516
Ac4 0.7648 0.9383 0.2516
Ru1 0.5000 0.0000 0.5000
Ru2 0.5000 0.5000 0.0000
O1 0.1737 0.1781 0.4558
O2 0.1737 0.3219 0.9558
O3 0.2717 0.7250 0.4455
O4 0.2717 0.7750 0.9455
O5 0.3637 0.0350 0.2692
O6 0.3637 0.4650 0.7692
O7 0.6363 0.5350 0.2308
O8 0.6363 0.9650 0.7308
O9 0.7283 0.2250 0.0545
O10 0.7283 0.2750 0.5545
O11 0.8263 0.6781 0.0442
O12 0.8263 0.8219 0.5442